Density functional theory data (GGA-PBE) for a relaxed structure of LiTlHgSe2.

Summary:
Total energy: -28.67 eV/cell

Cell: 7.318 7.318 10.640 Å, 122.79 122.79 34.67°
Positions (direct):
Li  0.134  0.134  0.421
Li  0.866  0.866  0.579
Tl  0.340  0.340  0.844
Tl  0.660  0.660  0.156
Hg  0.425  0.425  0.277
Hg  0.575  0.575  0.723
Se  0.057  0.057  0.854
Se  0.325  0.325  0.426
Se  0.675  0.675  0.574
Se  0.943  0.943  0.146